VASP calculation (PBE with a Hubbard U) on an optimized crystal structure of CrOsF.

Total magnetization: 2.18 μB per cell
Total DFT energy (no corrections): -7.27 eV per atom
Mass density: 9.0 g cm⁻³

Cell: 2.846 2.785 14.094 Å, 90.00 90.00 120.72°
Element x y z (fractional)
Cr  0.542  0.085  0.000
Cr  0.238  0.476  0.500
F  0.739  0.478  0.404
F  0.739  0.478  0.596
Os  0.204  0.408  0.852
Os  0.204  0.408  0.148